Entry 1:
An optimized crystal structure of EuAg2Cl4, computed with PBE-GGA.

Values from the calculation:
The value obtained for the formation energy without anion corrections is -1.12 eV/atom. For the density of states at the Fermi level, the calculation gives 17.9 states/eV/f.u. The total energy comes out at -4.454 eV per atom. Its magnetization is 6.75 μB/f.u. For the volume, the calculation gives 29.6 A^3/atom.

Cell and atoms, written as CIF:
```
data_EuAg2Cl4
_cell_length_a 5.6342
_cell_length_b 5.6342
_cell_length_c 13.0760
_cell_angle_alpha 90.00
_cell_angle_beta 90.00
_cell_angle_gamma 90.00
_symmetry_space_group_name_H-M 'I 4/m m m'
_symmetry_Int_Tables_number 139
_symmetry_space_group_name_Hall '-I 4 2'
loop_
_atom_site_label
_atom_site_type_symbol
_atom_site_fract_x
_atom_site_fract_y
_atom_site_fract_z
_atom_site_occupancy
Eu1 Eu 0.0000 0.0000 0.0000 1
Ag1 Ag 0.0000 0.0000 0.3945 1
Cl1 Cl 0.0000 0.0000 0.2077 1
Cl2 Cl 0.0000 0.5000 0.0000 1
```



Entry 2:
An optimized crystal structure of Rb2EuAgCl6, computed with PBE-GGA.

Values from the calculation:
The value obtained for the formation energy without anion corrections is -1.66 eV/atom. For the density of states at the Fermi level, the calculation gives 9.4 states/eV/f.u. The total energy comes out at -4.277 eV per atom. Its magnetization is 5.97 μB/f.u. For the volume, the calculation gives 31.5 A^3/atom.

Cell and atoms, written as CIF:
```
data_Rb2EuAgCl6
_cell_length_a 10.8034
_cell_length_b 10.8034
_cell_length_c 10.8034
_cell_angle_alpha 90.00
_cell_angle_beta 90.00
_cell_angle_gamma 90.00
_symmetry_space_group_name_H-M 'F m -3 m'
_symmetry_Int_Tables_number 225
_symmetry_space_group_name_Hall '-F 4 2 3'
loop_
_atom_site_label
_atom_site_type_symbol
_atom_site_fract_x
_atom_site_fract_y
_atom_site_fract_z
_atom_site_occupancy
Rb1 Rb 0.2500 0.2500 0.2500 1
Eu1 Eu 0.0000 0.0000 0.0000 1
Ag1 Ag 0.0000 0.0000 0.5000 1
Cl1 Cl 0.0000 0.0000 0.2522 1
```



Entry 3:
An optimized crystal structure of Ag6Cl2F5, computed with PBE-GGA.

Values from the calculation:
The value obtained for the formation energy without anion corrections is -0.84 eV/atom. For the density of states at the Fermi level, the calculation gives 10.6 states/eV/f.u. The total energy comes out at -3.164 eV per atom. Its magnetization is 0.00 μB/f.u. For the volume, the calculation gives 18.4 A^3/atom.

Cell and atoms, written as CIF:
```
data_Ag6Cl2F5
_cell_length_a 11.5803
_cell_length_b 6.3545
_cell_length_c 14.0653
_cell_angle_alpha 90.00
_cell_angle_beta 112.33
_cell_angle_gamma 90.00
_symmetry_space_group_name_H-M 'C 1 2/c 1'
_symmetry_Int_Tables_number 15
loop_
_symmetry_equiv_pos_as_xyz
'x,y,z'
'-x,-y,-z'
'-x,y,-z+1/2'
'x,-y,z+1/2'
'x+1/2,y+1/2,z'
'-x+1/2,-y+1/2,-z'
'-x+1/2,y+1/2,-z+1/2'
'x+1/2,-y+1/2,z+1/2'
loop_
_atom_site_label
_atom_site_type_symbol
_atom_site_fract_x
_atom_site_fract_y
_atom_site_fract_z
_atom_site_occupancy
Ag1 Ag 0.1142 0.2491 0.2153 1
Ag2 Ag 0.1276 0.2908 0.8582 1
Ag3 Ag 0.1314 0.2439 0.5491 1
Cl1 Cl 0.1094 0.2225 0.0308 1
F1 F 0.0000 0.0301 0.7500 1
F2 F 0.1523 0.3253 0.3888 1
F3 F 0.1603 0.3873 0.7123 1
```



Entry 4:
An optimized crystal structure of Ag4Cl4F, computed with PBE-GGA.

Values from the calculation:
The value obtained for the formation energy without anion corrections is -0.55 eV/atom. For the density of states at the Fermi level, the calculation gives 4.5 states/eV/f.u. The total energy comes out at -2.847 eV per atom. Its magnetization is 0.00 μB/f.u. For the volume, the calculation gives 23.0 A^3/atom.

Cell and atoms, written as CIF:
```
data_Ag4Cl4F
_cell_length_a 4.0225
_cell_length_b 6.5517
_cell_length_c 8.2080
_cell_angle_alpha 96.81
_cell_angle_beta 101.68
_cell_angle_gamma 99.07
_symmetry_space_group_name_H-M 'P -1'
_symmetry_Int_Tables_number 2
loop_
_symmetry_equiv_pos_as_xyz
'x,y,z'
'-x,-y,-z'
loop_
_atom_site_label
_atom_site_type_symbol
_atom_site_fract_x
_atom_site_fract_y
_atom_site_fract_z
_atom_site_occupancy
Ag1 Ag 0.1010 0.3977 0.2920 1
Ag2 Ag 0.3108 0.2254 0.9064 1
Cl1 Cl 0.2258 0.3236 0.6205 1
Cl2 Cl 0.3936 0.1092 0.1901 1
F1 F 0.0000 0.5000 0.0000 1
```



Entry 5:
An optimized crystal structure of AgClF5, computed with PBE-GGA.

Values from the calculation:
The value obtained for the formation energy without anion corrections is -0.71 eV/atom. For the density of states at the Fermi level, the calculation gives 2.9 states/eV/f.u. The total energy comes out at -2.715 eV per atom. Its magnetization is 1.03 μB/f.u. For the volume, the calculation gives 20.8 A^3/atom.

Cell and atoms, written as CIF:
```
data_AgClF5
_cell_length_a 6.7983
_cell_length_b 12.2886
_cell_length_c 7.6734
_cell_angle_alpha 90.00
_cell_angle_beta 114.60
_cell_angle_gamma 90.00
_symmetry_space_group_name_H-M 'C 1 2/c 1'
_symmetry_Int_Tables_number 15
loop_
_symmetry_equiv_pos_as_xyz
'x,y,z'
'-x,-y,-z'
'-x,y,-z+1/2'
'x,-y,z+1/2'
'x+1/2,y+1/2,z'
'-x+1/2,-y+1/2,-z'
'-x+1/2,y+1/2,-z+1/2'
'x+1/2,-y+1/2,z+1/2'
loop_
_atom_site_label
_atom_site_type_symbol
_atom_site_fract_x
_atom_site_fract_y
_atom_site_fract_z
_atom_site_occupancy
Ag1 Ag 0.0000 0.0000 0.0000 1
Cl1 Cl 0.0000 0.2686 0.2500 1
F1 F 0.0000 0.0600 0.7500 1
F2 F 0.1607 0.2651 0.1249 1
F3 F 0.2281 0.1058 0.5199 1
```



Entry 6:
An optimized crystal structure of Ag3ClF, computed with PBE-GGA.

Values from the calculation:
The value obtained for the formation energy without anion corrections is -0.22 eV/atom. For the density of states at the Fermi level, the calculation gives 2.2 states/eV/f.u. The total energy comes out at -2.675 eV per atom. The value obtained for the relative energy among the computed polymorphs is 0.000 eV/atom. Its magnetization is 0.00 μB/f.u. For the volume, the calculation gives 21.0 A^3/atom.

Cell and atoms, written as CIF:
```
data_Ag3ClF
_cell_length_a 4.7183
_cell_length_b 4.7183
_cell_length_c 4.7183
_cell_angle_alpha 90.00
_cell_angle_beta 90.00
_cell_angle_gamma 90.00
_symmetry_space_group_name_H-M 'P m -3 m'
_symmetry_Int_Tables_number 221
_symmetry_space_group_name_Hall '-P 4 2 3'
loop_
_atom_site_label
_atom_site_type_symbol
_atom_site_fract_x
_atom_site_fract_y
_atom_site_fract_z
_atom_site_occupancy
Ag1 Ag 0.0000 0.0000 0.5000 1
Cl1 Cl 0.5000 0.5000 0.5000 1
F1 F 0.0000 0.0000 0.0000 1
```



Q: volume of number 2 (Rb2EuAgCl6)?
A: 31.5 A^3/atom